Entry 1:
Material: K2RbZnIn
Method: DFT, GGA-PBE
State: relaxed

```
5
Lattice="7.0280 0.0000 0.0000 0.0000 7.0280 0.0000 0.0000 0.0000 5.1400" Properties=species:S:1:pos:R:3 pbc="T T T"
Zn 0.0000 0.0000 2.5700
In 0.0000 0.0000 0.0000
Rb 3.5140 3.5140 2.5700
K 0.0000 3.5140 0.0000
K 3.5140 0.0000 0.0000
```

Space group   P4/mmm, No. 123
Relative energy among the computed polymorphs   41 meV per atom
Size of the total moment   0.00 Bohr magnetons per cell

Entry 2:
Material: K2RbZnIn
Method: DFT, GGA-PBE
State: relaxed

```
5
Lattice="-4.0161 3.2745 4.1924 -5.1805 -3.6009 -2.1502 0.9834 -3.7055 3.8364" Properties=species:S:1:pos:R:3 pbc="T T T"
K -2.0081 1.6373 2.0962
K -2.5903 -1.8005 -1.0751
In 0.4917 -1.8528 1.9182
Rb -4.1066 -2.0160 2.9393
Zn 0.0000 0.0000 0.0000
```

Space group   P4/mmm, No. 123
Relative energy among the computed polymorphs   0 meV per atom
Size of the total moment   0.00 Bohr magnetons per cell

Entry 3:
Material: K2InRe
Method: DFT, GGA-PBE
State: relaxed

```
4
Lattice="-0.9179 -2.6063 1.1510 2.9909 -2.1822 -2.5562 6.9027 0.8249 7.3724" Properties=species:S:1:pos:R:3 pbc="T T T"
Re 4.0901 0.4888 4.3684
K 3.3108 -2.1225 1.7264
K 6.3620 0.7603 6.7948
In 5.5670 -1.8529 4.1361
```

Space group   Pmm2, No. 25
Size of the total moment   0.46 Bohr magnetons per cell

Entry 4:
Material: K2InRe
Method: DFT, GGA-PBE
State: relaxed

```
4
Lattice="-2.3052 -1.7623 0.1805 1.3862 -1.1260 -2.2941 6.1619 -7.3111 7.3120" Properties=species:S:1:pos:R:3 pbc="T T T"
K 0.1067 -0.1266 0.1267
K 2.9742 -3.5289 3.5293
Re 1.0810 -3.2720 0.7712
In 4.1619 -6.9275 4.4272
```

Space group   Cmmm, No. 65
Size of the total moment   0.00 Bohr magnetons per cell

Entry 5:
Material: K2InRe
Method: DFT, GGA-PBE
State: relaxed

```
4
Lattice="-4.4856 -4.2161 -1.7587 2.8518 -4.6713 -3.3219 0.5097 2.6277 5.8159" Properties=species:S:1:pos:R:3 pbc="T T T"
K -2.3587 -2.8110 0.8757
K -0.0433 -0.2355 -0.1346
Re -0.7104 -3.8646 -2.2093
In 1.1714 -3.7924 -0.3368
```

Space group   Imm2, No. 44
Size of the total moment   2.50 Bohr magnetons per cell

Entry 6:
Material: KInRe2
Method: DFT, GGA-PBE
State: relaxed

```
8
Lattice="-1.2590 3.0760 -2.7088 -2.9967 1.2424 2.8037 4.5422 8.6387 4.3051" Properties=species:S:1:pos:R:3 pbc="T T T"
Re -1.6573 5.1837 0.8494
Re -0.0042 8.8510 4.9625
Re 0.7366 2.3745 1.3743
Re 1.4978 9.5052 1.6139
In 0.5776 6.9370 0.8219
In 0.0000 0.0000 0.0000
K -0.2912 6.0202 3.5781
K -2.1278 2.1592 0.0475
```

Space group   I-42d, No. 122
Size of the total moment   1.14 Bohr magnetons per cell

Entry 7:
Material: KInRe2
Method: DFT, GGA-PBE
State: relaxed

```
4
Lattice="-4.3915 1.4474 -3.3343 -5.3207 -1.5818 1.2983 4.5140 2.4293 2.4940" Properties=species:S:1:pos:R:3 pbc="T T T"
Re 0.0000 0.0000 0.0000
Re -4.8561 -0.0672 -1.0180
In -2.8314 0.3902 1.3871
K -2.3668 1.9048 -0.9292
```

Space group   I4/mmm, No. 139
Size of the total moment   0.00 Bohr magnetons per cell

Entry 8:
Material: K2InRe
Method: DFT, GGA-PBE
State: relaxed

```
4
Lattice="-1.5533 6.3095 1.0240 -3.8759 -5.2464 0.8504 0.9068 -0.2236 2.7533" Properties=species:S:1:pos:R:3 pbc="T T T"
K 0.0000 0.0000 0.0000
K -2.7146 0.5315 0.9372
Re -0.3233 3.0429 1.8887
In -1.4846 -2.7350 1.8018
```

Space group   Cmmm, No. 65
Size of the total moment   0.00 Bohr magnetons per cell

Listing V for the structures above in their given order: 50.78 48.19 34.12 24.96 35.60 23.50 19.54 25.02 Å³ per atom.
Listing E_form for the structures above in their given order: 0.11 0.07 0.80 1.02 1.09 1.41 1.58 1.12 eV/atom.